A plane-wave DFT calculation with PBE-GGA was carried out for a relaxed Li4PaCl8 crystal.

a = 7.9077 Å, b = 7.9077 Å, c = 7.9077 Å
α = 60.00°, β = 60.00°, γ = 60.00°
Element x y z (fractional)
Li 0.4072 0.4072 0.4072
Li 0.4072 0.4072 0.7785
Li 0.4072 0.7785 0.4072
Li 0.7785 0.4072 0.4072
Pa 0.0000 0.0000 0.0000
Cl 0.1313 0.1313 0.1313
Cl 0.1313 0.1313 0.6062
Cl 0.1313 0.6062 0.1313
Cl 0.1544 0.6152 0.6152
Cl 0.6062 0.1313 0.1313
Cl 0.6152 0.1544 0.6152
Cl 0.6152 0.6152 0.1544
Cl 0.6152 0.6152 0.6152

Formation energy without anion corrections ... -1.631 eV/atom
Space-group type ... No. 216